Entry from the Alexandria database: an optimized crystal structure of Mn2AgGeAs (PBE).

Results
As for the symmetry: P4/mmm. The energy of formation is 3.86 eV/f.u.

Cell: 4.733 4.733 4.992 Å, 90.00 90.00 90.00°
Fractional coordinates of all 5 atoms:
Mn 0.000 0.500 0.000
Mn 0.500 0.000 0.000
Ag 0.000 0.000 0.500
Ge 0.500 0.500 0.000
As 0.500 0.500 0.500

=====

Entry from the Alexandria database: an optimized crystal structure of AgGe2AsO6 (PBE).

Results
Its energy relative to the elements, uncorrected is -1.215 eV per atom. As for the symmetry: C2/c.

Cell: 7.202 7.202 5.685 Å, 101.95 101.95 84.89°
Fractional coordinates of all 20 atoms:
Ag 0.086 0.914 0.750
Ag 0.914 0.086 0.250
Ge 0.177 0.374 0.785
Ge 0.374 0.177 0.285
Ge 0.626 0.823 0.715
Ge 0.823 0.626 0.215
As 0.277 0.723 0.250
As 0.723 0.277 0.750
O 0.038 0.756 0.334
O 0.135 0.615 0.898
O 0.244 0.962 0.166
O 0.274 0.344 0.513
O 0.344 0.274 0.013
O 0.385 0.865 0.602
O 0.615 0.135 0.398
O 0.656 0.726 0.987
O 0.726 0.656 0.487
O 0.756 0.038 0.834
O 0.865 0.385 0.102
O 0.962 0.244 0.666

=====

Entry from the Alexandria database: an optimized crystal structure of AgGe2AsS6 (PBE).

Results
Its energy relative to the elements, uncorrected is -0.162 eV per atom. As for the symmetry: C2/c.

Cell: 8.487 8.487 6.991 Å, 105.46 105.46 80.15°
Fractional coordinates of all 20 atoms:
Ag 0.231 0.769 0.750
Ag 0.769 0.231 0.250
Ge 0.184 0.370 0.811
Ge 0.370 0.184 0.311
Ge 0.630 0.816 0.689
Ge 0.816 0.630 0.189
As 0.238 0.762 0.250
As 0.762 0.238 0.750
S 0.003 0.805 0.377
S 0.069 0.631 0.889
S 0.195 0.997 0.123
S 0.308 0.400 0.566
S 0.369 0.931 0.611
S 0.400 0.308 0.066
S 0.600 0.692 0.934
S 0.631 0.069 0.389
S 0.692 0.600 0.434
S 0.805 0.003 0.877
S 0.931 0.369 0.111
S 0.997 0.195 0.623

=====

Entry from the Alexandria database: an optimized crystal structure of AgGeAsSe2 (PBE).

Results
Its energy relative to the elements, uncorrected is 0.740 eV per atom. As for the symmetry: P4/mmm.

Cell: 5.135 5.135 4.869 Å, 90.00 90.00 90.00°
Fractional coordinates of all 5 atoms:
Ag 0.000 0.000 0.000
Ge 0.500 0.500 0.500
As 0.000 0.000 0.500
Se 0.000 0.500 0.000
Se 0.500 0.000 0.000

=====

no.,total energy (eV/f.u.)
1,-26.59
2,-58.64
3,-43.12
4,-15.39